[1]
12
Lattice="6.712 -0.002 -0.002 -3.357 5.813 -0.002 -1.122 -1.943 7.461" Properties=species:S:1:pos:R:3 comment="Tb6C2I3Cl (PBE, optimized geometry)" energy_ev_per_cell=-62.7 crystal_system=monoclinic raw_formation_energy_ev_per_atom=-0.83 n_ef_per_ev_atom=0.3836 sg=C2/m pbc="T T T"
Tb 3.440 1.781 6.172
Tb 2.152 3.726 1.282
Tb -1.207 2.086 1.285
Tb -0.177 3.870 6.172
Tb 0.082 0.142 6.175
Tb 2.410 -0.002 1.285
C 0.002 3.873 -0.002
C 3.354 1.937 -0.002
I -2.263 3.886 3.728
I 4.497 -0.018 3.728
I 1.117 1.934 3.728
Cl 0.000 0.000 0.000

[2]
4
Lattice="3.920 0.000 0.000 0.000 2.878 0.002 0.000 1.507 5.064" Properties=species:S:1:pos:R:3 comment="PIr3 (PBE, optimized geometry)" energy_ev_per_cell=-31.7 crystal_system=monoclinic n_ef_per_ev_atom=1.0593 ef_ev_per_atom=0.07 sg=P2/m pbc="T T T"
Ir 0.000 0.388 0.091
Ir 1.960 3.289 3.799
Ir 0.000 1.805 2.442
P 1.960 1.096 1.266